Entry 1:
Below is crystalline CuH3Pt3 at its relaxed geometry, with properties calculated at the PBE level.

Values from the calculation:
**DOS(E_F)**: 3.6 states/eV/cell
**E**: -31.02 eV per formula unit
**Energy relative to the lowest polymorph listed for this composition**: 3 meV per atom

The structure in POSCAR format:
```
CuH3Pt3
1.0
-1.956 3.043 -3.884
-4.879 -1.813 1.036
-0.733 3.952 3.466
H Pt Cu
6 6 2
direct
0.500 0.750 0.000
0.000 0.500 0.250
0.500 0.250 0.000
0.750 0.000 0.500
0.250 0.000 0.500
0.000 0.500 0.750
0.500 0.000 0.750
0.000 0.750 0.500
0.750 0.500 0.000
0.500 0.000 0.250
0.250 0.500 0.000
0.000 0.250 0.500
0.000 0.000 0.000
0.500 0.500 0.500
```

Entry 2:
Below is crystalline CuH2Pt2 at its relaxed geometry, with properties calculated at the PBE level.

Values from the calculation:
**DOS(E_F)**: 2.8 states/eV/cell
**E**: -21.80 eV per formula unit
**Energy relative to the lowest polymorph listed for this composition**: 180 meV per atom

The structure in POSCAR format:
```
CuH2Pt2
1.0
-5.453 -0.208 -3.512
2.281 -5.141 -3.238
-1.158 -1.709 1.899
Pt H Cu
4 4 2
direct
0.145 0.355 0.000
0.645 0.145 0.000
0.855 0.645 0.000
0.355 0.855 0.000
0.255 0.245 0.500
0.755 0.255 0.500
0.745 0.755 0.500
0.245 0.745 0.500
0.000 0.000 0.000
0.500 0.500 0.000
```

Entry 3:
Below is crystalline CuH6Pt2 at its relaxed geometry, with properties calculated at the PBE level.

Values from the calculation:
**DOS(E_F)**: 0.5 states/eV/cell
**E**: -34.95 eV per formula unit

The structure in POSCAR format:
```
CuH6Pt2
1.0
2.729 0.000 0.000
-1.365 3.113 -0.457
0.000 -0.882 10.050
H Pt Cu
6 2 1
direct
0.037 0.074 0.243
0.963 0.926 0.757
0.728 0.455 0.121
0.364 0.729 0.416
0.636 0.271 0.584
0.272 0.545 0.879
0.686 0.372 0.767
0.314 0.628 0.233
0.000 0.000 0.500
```

Entry 4:
Below is crystalline CuHPt at its relaxed geometry, with properties calculated at the PBE level.

Values from the calculation:
**DOS(E_F)**: 1.9 states/eV/cell
**E**: -13.55 eV per formula unit
**Energy relative to the lowest polymorph listed for this composition**: 0 meV per atom

The structure in POSCAR format:
```
CuHPt
1.0
2.882 0.000 0.000
0.000 5.766 0.000
0.000 0.000 7.483
H Cu Pt
4 4 4
direct
0.000 0.000 0.529
0.000 0.000 0.029
0.501 0.500 0.154
0.499 0.500 0.654
0.000 0.744 0.161
0.000 0.256 0.161
0.000 0.256 0.661
0.000 0.744 0.661
0.500 0.000 0.394
0.500 0.500 0.909
0.500 0.500 0.409
0.500 0.000 0.894
```

Entry 5:
Below is crystalline Cu3HPt at its relaxed geometry, with properties calculated at the PBE level.

Values from the calculation:
**DOS(E_F)**: 1.2 states/eV/cell
**E**: -21.69 eV per formula unit
**Energy relative to the lowest polymorph listed for this composition**: 0 meV per atom

The structure in POSCAR format:
```
Cu3HPt
1.0
-3.499 0.344 -1.383
1.010 -1.987 -3.050
-1.005 -3.195 1.748
Cu H Pt
3 1 1
direct
0.000 0.000 0.500
0.500 0.000 0.000
0.000 0.500 0.000
0.000 0.000 0.000
0.500 0.500 0.500
```

Entry 6:
Below is crystalline CuHPt4 at its relaxed geometry, with properties calculated at the PBE level.

Values from the calculation:
**DOS(E_F)**: 14.8 states/eV/cell
**E**: -31.60 eV per formula unit

The structure in POSCAR format:
```
CuHPt4
1.0
7.414 0.031 0.579
1.406 4.183 2.001
0.154 -0.478 4.877
Cu Pt H
2 8 2
direct
0.799 0.359 0.254
0.201 0.641 0.746
0.598 0.950 0.253
0.801 0.847 0.744
0.602 0.452 0.747
0.199 0.153 0.256
0.402 0.050 0.747
0.001 0.745 0.257
0.999 0.255 0.743
0.398 0.548 0.253
0.201 0.953 0.966
0.799 0.047 0.034
```